(1)
First-principles (PBE) data for a relaxed structure of Re2MoW, as listed in Alexandria via LeMat-Bulk.

```
data_Re2MoW
_cell_length_a 3.142
_cell_length_b 4.458
_cell_length_c 8.873
_cell_angle_alpha 90.00
_cell_angle_beta 90.00
_cell_angle_gamma 90.00
_symmetry_space_group_name_H-M 'P 1'
_symmetry_Int_Tables_number 1
loop_
_symmetry_equiv_pos_as_xyz
'x,y,z'
loop_
_atom_site_label
_atom_site_type_symbol
_atom_site_fract_x
_atom_site_fract_y
_atom_site_fract_z
_atom_site_occupancy
Re1 Re 0.000 0.000 0.250 1
Re2 Re 0.000 0.000 0.750 1
Re3 Re 0.500 0.500 0.250 1
Re4 Re 0.500 0.500 0.750 1
Mo1 Mo 0.000 0.500 0.000 1
Mo2 Mo 0.500 0.000 0.000 1
W1 W 0.000 0.500 0.500 1
W2 W 0.500 0.000 0.500 1
```

Output
Energy of formation from the pure elements ... 0.1189 eV per atom

(2)
First-principles (PBE) data for a relaxed structure of ReMo2W, as listed in Alexandria via LeMat-Bulk.

```
data_ReMo2W
_cell_length_a 3.150
_cell_length_b 4.464
_cell_length_c 8.950
_cell_angle_alpha 90.00
_cell_angle_beta 90.00
_cell_angle_gamma 90.00
_symmetry_space_group_name_H-M 'P 1'
_symmetry_Int_Tables_number 1
loop_
_symmetry_equiv_pos_as_xyz
'x,y,z'
loop_
_atom_site_label
_atom_site_type_symbol
_atom_site_fract_x
_atom_site_fract_y
_atom_site_fract_z
_atom_site_occupancy
Re1 Re 0.000 0.000 0.000 1
Re2 Re 0.500 0.500 0.000 1
Mo1 Mo 0.000 0.500 0.248 1
Mo2 Mo 0.000 0.500 0.752 1
Mo3 Mo 0.500 0.000 0.248 1
Mo4 Mo 0.500 0.000 0.752 1
W1 W 0.000 0.000 0.500 1
W2 W 0.500 0.500 0.500 1
```

Output
Energy of formation from the pure elements ... 0.0573 eV per atom

| no. | density of states at the Fermi level (states/eV per atom) | calculated total energy (eV/cell) | total moment (μB per cell) |
| --- | --- | --- | --- |
| 1 | 0.955 | -96.4 | 0.0 |
| 2 | 0.950 | -93.7 | 0.0 |